! SbPRh2, relaxed, DFT PBE; values from VASP
! Formation energy from raw total energies in eV/f.u.: -0.692
! Final energy in eV per atom: -6.23
! Energy above the most stable polymorph in this dataset in eV per atom: 0.2734
! Density of states at the Fermi level in states/eV per cell: 4.0
! Total moment in Bohr magnetons per cell: 0.00
&SYSTEM
  ibrav = 0, nat = 4, ntyp = 3
/
ATOMIC_SPECIES
Sb 121.76 Sb.upf
P 30.97 P.upf
Rh 102.91 Rh.upf
ATOMIC_POSITIONS crystal
Sb 0.000 0.000 0.000
P 0.500 0.500 0.393
Rh 0.000 0.000 0.535
Rh 0.500 0.500 0.790
CELL_PARAMETERS angstrom
3.058 0.000 0.000
0.000 3.058 0.000
0.000 0.000 7.682